VASP calculation (PBE-GGA) on a relaxed structure of ErAgPt4.

Crystal system: cubic
Calculated total energy: -5.964 eV per atom
Size of the total moment: 0.00 μB per formula unit

abc: 5.3469 5.3469 5.3469
angles: 60.00 60.00 60.00
With the nearest neighbours (Å) after each atom.
Fractional positions:
Pt  0.6253  0.6253  0.6253  6 Pt 2.67-2.68
Pt  0.6253  0.6253  0.1240  6 Pt 2.67-2.68
Ag  0.0000  0.0000  0.0000  12 Pt 3.13, 4 Er 3.27
Pt  0.1240  0.6253  0.6253  6 Pt 2.67-2.68
Pt  0.6253  0.1240  0.6253  6 Pt 2.67-2.68
Er  0.2500  0.2500  0.2500  12 Pt 3.14, 4 Ag 3.27